Material: LiTeHO4
Method: DFT, PBEsol
State: optimized geometry

a b c (Å): 4.601 4.929 5.991
angles (deg): 90.00 90.00 88.02
Element x y z (fractional)
Li  0.464  0.526  0.250
Li  0.464  0.526  0.750
O  0.772  0.354  0.000
O  0.222  0.159  0.750
O  0.202  0.677  0.500
O  0.222  0.159  0.250
O  0.202  0.677  0.000
O  0.749  0.884  0.250
O  0.772  0.354  0.500
O  0.749  0.884  0.750
H  0.943  0.490  0.500
H  0.943  0.490  0.000
Te  0.994  0.009  0.500
Te  0.994  0.009  0.000

Material: CsLi3Br
Method: DFT, PBEsol
State: optimized geometry

a b c (Å): 5.644 5.644 5.644
angles (deg): 90.00 90.00 90.00
Element x y z (fractional)
Br  0.000  0.000  0.000
Li  0.000  0.000  0.500
Li  0.500  0.000  0.000
Li  0.000  0.500  0.000
Cs  0.500  0.500  0.500

no.,VASP energy (eV per atom)
1,-5.49
2,-2.00